Entry 1:
Compound: SrTbCuSe3
Source: OQMD via LeMat-Bulk
Functional: PBE
Structure: relaxed

The total energy is -4.95 eV per atom.

The space group is P2_1/m (No. 11) and the conventional cell measures 8.0574, 4.0759 and 9.7309 Å, with angles of 90.00, 105.28 and 90.00 degrees. The inequivalent atoms are Sr at (0.2364, 0.2500, 0.2899), Tb at (0.3057, 0.7500, 0.8413), Cu at (0.0774, 0.2500, 0.5888), Se at (0.0596, 0.2500, 0.8394), Se at (0.2443, 0.7500, 0.5390) and Se at (0.4355, 0.7500, 0.1501).

***

Entry 2:
Compound: SrTbCuTeSe2
Source: OQMD via LeMat-Bulk
Functional: PBE
Structure: relaxed

The total energy is -4.78 eV per atom.

The space group is Cmcm (No. 63) and the conventional cell measures 4.1288, 14.2539 and 11.0444 Å, with angles of 90.00, 90.00 and 90.00 degrees. The inequivalent atoms are Sr at (0.0000, 0.2246, 0.2500), Tb at (0.0000, 0.0000, 0.0000), Cu at (0.0000, 0.4744, 0.7500), Te at (0.0000, 0.0918, 0.7500) and Se at (0.0000, 0.3694, 0.5720).

***

Entry 3:
Compound: Sr2CuTcSe6
Source: OQMD via LeMat-Bulk
Functional: PBE
Structure: relaxed

The total energy is -4.58 eV per atom.

The space group is P-1 (No. 2) and the conventional cell measures 6.0978, 6.6927 and 6.7420 Å, with angles of 90.99, 111.82 and 108.84 degrees. The inequivalent atoms are Sr at (0.0366, 0.2786, 0.2852), Cu at (0.5000, 0.5000, 0.0000), Tc at (0.5000, 0.0000, 0.5000), Se at (0.0535, 0.8090, 0.2164), Se at (0.4045, 0.1566, 0.7787) and Se at (0.4182, 0.6467, 0.6648).